i.
## InAuS2Cl (PBE-GGA)

Data for a relaxed InAuS2Cl crystal.

Its magnetization is 0.6 μB/cell. As for the volume: 25.9 Å³ per atom.

It has space group P4/mmm (No. 123), with a = 5.074 Å, b = 5.074 Å, c = 5.035 Å, α = 90.00°, β = 90.00° and γ = 90.00°. The inequivalent atoms are In at (0.000, 0.000, 0.000), Au at (0.500, 0.500, 0.500), S at (0.000, 0.500, 0.000) and Cl at (0.000, 0.000, 0.500).

***

ii.
## InAuS2Cl (PBE-GGA)

Data for a relaxed InAuS2Cl crystal.

Its magnetization is 0.0 μB/cell. As for the volume: 24.5 Å³ per atom.

It has space group P4/mmm (No. 123), with a = 4.915 Å, b = 4.915 Å, c = 5.070 Å, α = 90.00°, β = 90.00° and γ = 90.00°. The inequivalent atoms are In at (0.000, 0.000, 0.000), Au at (0.500, 0.500, 0.500), S at (0.000, 0.500, 0.500) and Cl at (0.500, 0.500, 0.000).

***

Name the most stable of them. ii.

***

i.
## IrAuCl2 (PBE-GGA)

Data for a relaxed IrAuCl2 crystal.

Its magnetization is 0.0 μB/cell. As for the volume: 22.2 Å³ per atom.

It has space group R-3m (No. 166, hexagonal axes), with a = 3.4063 Å, b = 3.4063 Å, c = 26.4569 Å, α = 90.00°, β = 90.00° and γ = 120.00°. The inequivalent atoms are Ir at (0.0000, 0.0000, 0.0000), Au at (0.0000, 0.0000, 0.5000) and Cl at (0.0000, 0.0000, 0.2801).

***

ii.
## IrAuCl2 (PBE-GGA)

Data for a relaxed IrAuCl2 crystal.

Its magnetization is 8.4 μB/cell. As for the volume: 18.3 Å³ per atom.

It has space group F-43m (No. 216), with a = 6.645 Å, b = 6.645 Å, c = 6.645 Å, α = 90.00°, β = 90.00° and γ = 90.00°. The inequivalent atoms are Ir at (0.000, 0.000, 0.000), Au at (0.250, 0.250, 0.250), Cl at (0.000, 0.000, 0.500) and Cl at (0.250, 0.250, 0.750).

***

Name the most stable of them. i.

***

i.
## IrAuCl2 (PBE-GGA)

Data for a relaxed IrAuCl2 crystal.

Its magnetization is 0.0 μB/cell. As for the volume: 21.7 Å³ per atom.

It has space group Cmmm (No. 65), with a = 2.963 Å, b = 5.538 Å, c = 10.603 Å, α = 90.00°, β = 90.00° and γ = 90.00°. The inequivalent atoms are Ir at (0.000, 0.000, 0.000), Au at (0.000, 0.000, 0.500) and Cl at (0.000, 0.500, 0.173).

***

ii.
## IrAuCl2 (PBE-GGA)

Data for a relaxed IrAuCl2 crystal.

Its magnetization is 3.0 μB/cell. As for the volume: 22.6 Å³ per atom.

It has space group P4/mmm (No. 123), with a = 3.009 Å, b = 3.009 Å, c = 9.999 Å, α = 90.00°, β = 90.00° and γ = 90.00°. The inequivalent atoms are Ir at (0.000, 0.000, 0.000), Au at (0.000, 0.000, 0.500) and Cl at (0.500, 0.500, 0.166).

***

iii.
## IrAuCl2 (PBE-GGA)

Data for a relaxed IrAuCl2 crystal.

Its magnetization is 0.0 μB/cell. As for the volume: 22.4 Å³ per atom.

It has space group I-42d (No. 122), with a = 8.193 Å, b = 8.193 Å, c = 5.350 Å, α = 90.00°, β = 90.00° and γ = 90.00°. The inequivalent atoms are Ir at (0.000, 0.000, 0.000), Au at (0.000, 0.000, 0.500) and Cl at (0.118, 0.250, 0.125).

***

Name the most stable of them. i.

***

i.
## IrAuCl2 (PBE-GGA)

Data for a relaxed IrAuCl2 crystal.

Its magnetization is 2.1 μB/cell. As for the volume: 18.3 Å³ per atom.

It has space group Pmmm (No. 47), with a = 3.063 Å, b = 3.820 Å, c = 6.248 Å, α = 90.00°, β = 90.00° and γ = 90.00°. The inequivalent atoms are Ir at (0.000, 0.000, 0.000), Au at (0.000, 0.000, 0.500) and Cl at (0.500, 0.500, 0.232).

***

ii.
## IrAuCl2 (PBE-GGA)

Data for a relaxed IrAuCl2 crystal.

Its magnetization is 2.3 μB/cell. As for the volume: 20.6 Å³ per atom.

It has space group P4mm (No. 99), with a = 3.136 Å, b = 3.136 Å, c = 8.374 Å, α = 90.00°, β = 90.00° and γ = 90.00°. The inequivalent atoms are Ir at (0.000, 0.000, 0.000), Au at (0.500, 0.500, 0.208), Cl at (0.000, 0.000, 0.414) and Cl at (0.500, 0.500, 0.815).

***

iii.
## IrAuCl2 (PBE-GGA)

Data for a relaxed IrAuCl2 crystal.

Its magnetization is 0.0 μB/cell. As for the volume: 21.8 Å³ per atom.

It has space group R-3m (No. 166, hexagonal axes), with a = 2.8837 Å, b = 2.8837 Å, c = 36.2954 Å, α = 90.00°, β = 90.00° and γ = 120.00°. The inequivalent atoms are Ir at (0.0000, 0.0000, 0.0000), Au at (0.0000, 0.0000, 0.5000) and Cl at (0.0000, 0.0000, 0.0612).

***

iv.
## IrAuCl2 (PBE-GGA)

Data for a relaxed IrAuCl2 crystal.

Its magnetization is 1.9 μB/cell. As for the volume: 19.7 Å³ per atom.

It has space group I-4m2 (No. 119), with a = 3.600 Å, b = 3.600 Å, c = 12.171 Å, α = 90.00°, β = 90.00° and γ = 90.00°. The inequivalent atoms are Ir at (0.000, 0.000, 0.000), Au at (0.000, 0.500, 0.750), Cl at (0.000, 0.000, 0.500) and Cl at (0.000, 0.500, 0.250).

***

Name the most stable of them. iii.

***

i.
## IrAuCl4 (PBE-GGA)

Data for a relaxed IrAuCl4 crystal.

Its magnetization is 0.0 μB/cell. As for the volume: 30.6 Å³ per atom.

It has space group C2/c (No. 15), with a = 6.962 Å, b = 17.080 Å, c = 6.182 Å, α = 90.00°, β = 93.86° and γ = 90.00°. The inequivalent atoms are Ir at (0.000, 0.051, 0.250), Au at (0.000, 0.353, 0.750), Cl at (0.186, 0.046, 0.585) and Cl at (0.188, 0.151, 0.102).

***

ii.
## IrAuCl4 (PBE-GGA)

Data for a relaxed IrAuCl4 crystal.

Its magnetization is 4.8 μB/cell. As for the volume: 21.2 Å³ per atom.

It has space group F-43m (No. 216), with a = 7.985 Å, b = 7.985 Å, c = 7.985 Å, α = 90.00°, β = 90.00° and γ = 90.00°. The inequivalent atoms are Ir at (0.000, 0.000, 0.000), Au at (0.250, 0.250, 0.750) and Cl at (0.126, 0.126, 0.374).

***

Name the most stable of them. i.

***

i.
## KIrAuClO (PBE-GGA)

Data for a relaxed KIrAuClO crystal.

Its magnetization is 0.0 μB/cell. As for the volume: 23.1 Å³ per atom.

It has space group Cm (No. 8), with a = 17.284 Å, b = 3.239 Å, c = 4.243 Å, α = 90.00°, β = 103.61° and γ = 90.00°. The inequivalent atoms are K at (0.000, 0.000, 0.000), Ir at (0.227, 0.500, 0.237), Au at (0.349, 0.000, 0.355), Cl at (0.184, 0.500, 0.695) and O at (0.466, 0.000, 0.468).

***

ii.
## KIrAuClO (PBE-GGA)

Data for a relaxed KIrAuClO crystal.

Its magnetization is 0.0 μB/cell. As for the volume: 21.6 Å³ per atom.

It has space group P2/m (No. 10), with a = 5.357 Å, b = 3.727 Å, c = 5.412 Å, α = 90.00°, β = 90.08° and γ = 90.00°. The inequivalent atoms are K at (0.000, 0.000, 0.000), Ir at (0.500, 0.500, 0.500), Au at (0.000, 0.500, 0.500), Cl at (0.500, 0.500, 0.000) and O at (0.500, 0.000, 0.500).

***

iii.
## KIrAuClO (PBE-GGA)

Data for a relaxed KIrAuClO crystal.

Its magnetization is 0.0 μB/cell. As for the volume: 21.3 Å³ per atom.

It has space group Pm (No. 6), with a = 4.297 Å, b = 3.462 Å, c = 7.243 Å, α = 90.00°, β = 98.45° and γ = 90.00°. The inequivalent atoms are K at (0.000, 0.000, 0.000), Ir at (0.789, 0.500, 0.513), Au at (0.372, 0.000, 0.588), Cl at (0.548, 0.500, 0.191) and O at (0.108, 0.500, 0.721).

***

iv.
## KIrAuClO (PBE-GGA)

Data for a relaxed KIrAuClO crystal.

Its magnetization is 0.0 μB/cell. As for the volume: 20.5 Å³ per atom.

It has space group P4mm (No. 99), with a = 3.685 Å, b = 3.685 Å, c = 7.559 Å, α = 90.00°, β = 90.00° and γ = 90.00°. The inequivalent atoms are K at (0.000, 0.000, 0.000), Ir at (0.500, 0.500, 0.594), Au at (0.000, 0.000, 0.521), Cl at (0.500, 0.500, 0.260) and O at (0.500, 0.500, 0.832).

***

Name the most stable of them. iv.

***

i.
## KIrAuClO (PBE-GGA)

Data for a relaxed KIrAuClO crystal.

Its magnetization is 0.0 μB/cell. As for the volume: 24.7 Å³ per atom.

It has space group Pm (No. 6), with a = 4.636 Å, b = 3.704 Å, c = 7.221 Å, α = 90.00°, β = 93.59° and γ = 90.00°. The inequivalent atoms are K at (0.000, 0.000, 0.000), Ir at (0.739, 0.500, 0.378), Au at (0.236, 0.500, 0.557), Cl at (0.486, 0.500, 0.879) and O at (0.731, 0.000, 0.366).

***

ii.
## KIrAuClO (PBE-GGA)

Data for a relaxed KIrAuClO crystal.

Its magnetization is 0.0 μB/cell. As for the volume: 18.9 Å³ per atom.

It has space group Cm (No. 8), with a = 13.785 Å, b = 2.927 Å, c = 4.672 Å, α = 90.00°, β = 90.24° and γ = 90.00°. The inequivalent atoms are K at (0.000, 0.000, 0.000), Ir at (0.299, 0.500, 0.503), Au at (0.276, 0.000, 0.003), Cl at (0.129, 0.500, 0.501) and O at (0.405, 0.000, 0.505).

***

iii.
## KIrAuClO (PBE-GGA)

Data for a relaxed KIrAuClO crystal.

Its magnetization is 0.0 μB/cell. As for the volume: 21.4 Å³ per atom.

It has space group P1 (No. 1), with a = 3.067 Å, b = 5.236 Å, c = 7.122 Å, α = 69.13°, β = 88.47° and γ = 89.91°. The inequivalent atoms are K at (0.000, 0.000, 0.000), Ir at (0.015, 0.263, 0.492), Au at (0.189, 0.771, 0.476), Cl at (0.538, 0.411, 0.185) and O at (0.518, 0.169, 0.684).

***

Name the most stable of them. i.

***

i.
## IrAuClO (PBE-GGA)

Data for a relaxed IrAuClO crystal.

Its magnetization is 0.0 μB/cell. As for the volume: 17.4 Å³ per atom.

It has space group P1 (No. 1), with a = 2.833 Å, b = 3.745 Å, c = 7.083 Å, α = 93.62°, β = 90.02° and γ = 112.04°. The inequivalent atoms are Ir at (0.000, 0.000, 0.000), Au at (0.514, 0.029, 0.670), Cl at (0.028, 0.057, 0.366) and O at (0.283, 0.562, 0.026).

***

ii.
## IrAuClO (PBE-GGA)

Data for a relaxed IrAuClO crystal.

Its magnetization is 0.0 μB/cell. As for the volume: 22.7 Å³ per atom.

It has space group P1 (No. 1), with a = 2.850 Å, b = 4.775 Å, c = 6.927 Å, α = 100.18°, β = 101.18° and γ = 90.01°. The inequivalent atoms are Ir at (0.000, 0.000, 0.000), Au at (0.565, 0.601, 0.138), Cl at (0.855, 0.721, 0.693) and O at (0.108, 0.289, 0.229).

***

Name the most stable of them. i.

***

i.
## IrAuClO (PBE-GGA)

Data for a relaxed IrAuClO crystal.

Its magnetization is 0.2 μB/cell. As for the volume: 20.2 Å³ per atom.

It has space group Pmm2 (No. 25), with a = 3.352 Å, b = 3.684 Å, c = 6.549 Å, α = 90.00°, β = 90.00° and γ = 90.00°. The inequivalent atoms are Ir at (0.000, 0.000, 0.000), Au at (0.500, 0.000, 0.684), Cl at (0.000, 0.000, 0.397) and O at (0.000, 0.500, 0.010).

***

ii.
## IrAuClO (PBE-GGA)

Data for a relaxed IrAuClO crystal.

Its magnetization is 0.0 μB/cell. As for the volume: 17.9 Å³ per atom.

It has space group Cm (No. 8), with a = 6.962 Å, b = 2.740 Å, c = 7.538 Å, α = 90.00°, β = 93.64° and γ = 90.00°. The inequivalent atoms are Ir at (0.000, 0.000, 0.000), Au at (0.497, 0.500, 0.657), Cl at (0.045, 0.000, 0.339) and O at (0.281, 0.000, 0.012).

***

Name the most stable of them. i.

***

i.
## K4Au2Cl (PBE-GGA)

Data for a relaxed K4Au2Cl crystal.

Its magnetization is 0.0 μB/cell. As for the volume: 42.3 Å³ per atom.

It has space group I4/mmm (No. 139), with a = 6.134 Å, b = 6.134 Å, c = 15.733 Å, α = 90.00°, β = 90.00° and γ = 90.00°. The inequivalent atoms are K at (0.000, 0.000, 0.197), K at (0.000, 0.500, 0.000), Au at (0.000, 0.000, 0.407) and Cl at (0.000, 0.000, 0.000).

***

ii.
## K4Au2Cl (PBE-GGA)

Data for a relaxed K4Au2Cl crystal.

Its magnetization is 0.0 μB/cell. As for the volume: 38.4 Å³ per atom.

It has space group P2/m (No. 10), with a = 5.643 Å, b = 5.200 Å, c = 9.471 Å, α = 90.00°, β = 104.49° and γ = 90.00°. The inequivalent atoms are K at (0.097, 0.000, 0.190), K at (0.370, 0.500, 0.672), Au at (0.249, 0.500, 0.997) and Cl at (0.500, 0.000, 0.500).

***

Name the most stable of them. i.

***

i.
## KAu3Cl (PBE-GGA)

Data for a relaxed KAu3Cl crystal.

Its magnetization is 0.0 μB/cell. As for the volume: 29.0 Å³ per atom.

It has space group Pm-3m (No. 221), with a = 5.252 Å, b = 5.252 Å, c = 5.252 Å, α = 90.00°, β = 90.00° and γ = 90.00°. The inequivalent atoms are K at (0.000, 0.000, 0.000), Au at (0.000, 0.500, 0.500) and Cl at (0.500, 0.500, 0.500).

***

ii.
## KAu3Cl (PBE-GGA)

Data for a relaxed KAu3Cl crystal.

Its magnetization is 0.0 μB/cell. As for the volume: 37.9 Å³ per atom.

It has space group Pm-3m (No. 221), with a = 5.744 Å, b = 5.744 Å, c = 5.744 Å, α = 90.00°, β = 90.00° and γ = 90.00°. The inequivalent atoms are K at (0.000, 0.000, 0.000), Au at (0.000, 0.000, 0.500) and Cl at (0.500, 0.500, 0.500).

***

Name the most stable of them. i.